Ba2IrPb: optimized geometry, GGA-PBE.

a b c (Å): 3.7250 3.7245 10.2887
angles (deg): 68.83 90.00 90.00
With the nearest neighbours (Å) after each atom.
Positions (direct):
Ba 0.0000 0.9481 0.0517  4 Ir 3.25
Pb 0.5000 0.7500 0.7500  4 Pb 3.72, 8 Ba 3.91-3.92
Ba 0.0000 0.5519 0.4483  4 Ir 3.25
Ir 0.5000 0.2500 0.2500  8 Ba 3.25

Results
ΔH_f (0 K), eV per formula unit: -0.4

ThBCl: optimized geometry, GGA-PBE.

a b c (Å): 3.5357 3.5357 11.7596
angles (deg): 88.65 88.65 60.00
With the nearest neighbours (Å) after each atom.
Positions (direct):
B 0.6666 0.6666 0.5004  3 B 2.04
B 0.3334 0.3334 0.4996  3 B 2.04
Th 0.9914 0.9914 0.6640  6 B 2.81, 3 Cl 2.91
Cl 0.3156 0.3156 0.8400  3 Th 2.91
Cl 0.6844 0.6844 0.1600  3 Th 2.91
Th 0.0086 0.0086 0.3360  6 B 2.81, 3 Cl 2.91

Results
Polymorph energy (0 for the lowest one), kJ/mol of formula units: 0
Uncorrected formation energy, eV per atom: -1.149

LiSi2P: optimized geometry, GGA-PBE.

a b c (Å): 4.7826 2.4649 4.9867
angles (deg): 90.00 90.00 90.00
With the nearest neighbours (Å) after each atom.
Positions (direct):
Li 0.5000 0.2500 0.2500  2 Li 2.46
Si 0.0000 0.7505 0.5048  4 Si 2.45-2.54, 2 P 2.69
Si 0.0000 0.7495 0.9952  4 Si 2.45-2.54, 2 P 2.69
P 0.5000 0.7500 0.7500  2 P 2.46, 4 Si 2.69

Results
Uncorrected formation energy, eV per atom: 0.057

SrNdAg2: optimized geometry, GGA-PBE.

a b c (Å): 3.8428 3.8428 7.7218
angles (deg): 90.00 90.00 90.00
With the nearest neighbours (Å) after each atom.
Positions (direct):
Ag 0.0000 0.0000 0.7816  4 Nd 3.20, 1 Ag 3.37, 4 Sr 3.48
Sr 0.5000 0.5000 0.5000  8 Ag 3.48, 4 Sr 3.84, 2 Nd 3.86
Ag 0.0000 0.0000 0.2184  4 Nd 3.20, 1 Ag 3.37, 4 Sr 3.48
Nd 0.5000 0.5000 0.0000  8 Ag 3.20

Results
ΔH_f (0 K), eV per formula unit: -1.1
Polymorph energy (0 for the lowest one), kJ/mol of formula units: 0

Pm2TmIn3: optimized geometry, GGA-PBE.

a b c (Å): 5.3854 8.5169 7.5920
angles (deg): 90.00 89.99 71.57
With the nearest neighbours (Å) after each atom.
Positions (direct):
In 0.4995 0.0000 0.2404  6 Pm 3.25-3.34, 2 Tm 3.26
Pm 0.6639 0.6722 0.5000  8 In 3.30-3.34
In 0.1697 0.6606 0.2408  3 Tm 3.21-3.25, 5 Pm 3.30-3.38
Pm 0.0000 0.0000 0.5000  8 In 3.33-3.38
In 0.5005 0.0000 0.7596  6 Pm 3.25-3.34, 2 Tm 3.26
Tm 0.3328 0.3343 0.0000  8 In 3.21-3.26
In 0.1698 0.6606 0.7592  3 Tm 3.21-3.25, 5 Pm 3.30-3.38
In 0.8303 0.3394 0.7592  3 Tm 3.21-3.25, 5 Pm 3.30-3.38
Pm 0.0000 0.0000 0.0000  8 In 3.25-3.30
Tm 0.6672 0.6657 0.0000  8 In 3.21-3.26
Pm 0.3361 0.3278 0.5000  8 In 3.30-3.34
In 0.8302 0.3394 0.2408  3 Tm 3.21-3.25, 5 Pm 3.30-3.38

Results
ΔH_f (0 K), eV per formula unit: -2.8

Li2SbI: optimized geometry, GGA-PBE.

a b c (Å): 7.7672 7.7672 6.4407
angles (deg): 52.92 52.92 90.00
With the nearest neighbours (Å) after each atom.
Positions (direct):
Sb 0.2500 0.7500 0.5000  4 Li 2.91
Li 0.8750 0.8819 0.7500  2 I 2.84, 2 Sb 2.91
Sb 0.5000 0.5000 0.0000  4 Li 2.91
Li 0.6319 0.1250 0.2500  2 I 2.84, 2 Sb 2.91
Li 0.1181 0.6250 0.2500  2 I 2.84, 2 Sb 2.91
Li 0.3750 0.3681 0.7500  2 I 2.84, 2 Sb 2.91
I 0.0000 0.0000 0.0000  4 Li 2.84
I 0.7500 0.2500 0.5000  4 Li 2.84

Results
Polymorph energy (0 for the lowest one), kJ/mol of formula units: 31
Uncorrected formation energy, eV per atom: -0.424

Al2PbAu6: optimized geometry, GGA-PBE.

a b c (Å): 8.2988 8.2988 8.2988
angles (deg): 60.00 60.00 60.00
With the nearest neighbours (Å) after each atom.
Positions (direct):
Al 0.6250 0.1250 0.1250  6 Au 2.55
Au 0.2511 0.7489 0.2511  2 Al 2.55
Pb 0.7500 0.7500 0.7500  6 Au 2.92
Au 0.7489 0.2511 0.2511  2 Al 2.55
Pb 0.5000 0.5000 0.5000  6 Au 2.92
Au 0.2511 0.7489 0.7489  2 Al 2.55
Au 0.9989 0.9989 0.5011  2 Al 2.55
Au 0.9989 0.5011 0.5011  2 Al 2.55
Au 0.7489 0.7489 0.2511  2 Al 2.55
Au 0.5011 0.9989 0.9989  2 Al 2.55
Au 0.5011 0.5011 0.9989  2 Al 2.55
Au 0.5011 0.9989 0.5011  2 Al 2.55
Au 0.7489 0.2511 0.7489  2 Al 2.55
Al 0.1250 0.1250 0.6250  6 Au 2.55
Al 0.1250 0.6250 0.1250  6 Au 2.55
Au 0.9989 0.5011 0.9989  2 Al 2.55
Al 0.1250 0.1250 0.1250  6 Au 2.55
Au 0.2511 0.2511 0.7489  2 Al 2.55

Results
ΔH_f (0 K), eV per formula unit: -0.5
Polymorph energy (0 for the lowest one), kJ/mol of formula units: 103

Ac2AlCd7: optimized geometry, GGA-PBE.

a b c (Å): 4.6881 4.6881 12.1511
angles (deg): 90.00 90.00 90.00
With the nearest neighbours (Å) after each atom.
Positions (direct):
Cd 0.0000 0.0000 0.0000  4 Cd 2.82
Ac 0.0000 0.5000 0.2414  14 Cd 3.58-3.92, 2 Al 3.75
Cd 0.0000 0.0000 0.5000  4 Cd 2.91
Cd 0.5000 0.5000 0.5000  4 Cd 2.91
Cd 0.0000 0.5000 0.6413  5 Cd 2.79-2.91
Al 0.5000 0.5000 0.0000  4 Cd 2.82
Ac 0.5000 0.0000 0.7586  14 Cd 3.58-3.92, 2 Al 3.75
Cd 0.5000 0.0000 0.1294  3 Cd 2.79-2.82, 2 Al 2.82
Cd 0.5000 0.0000 0.3587  5 Cd 2.79-2.91
Cd 0.0000 0.5000 0.8706  3 Cd 2.79-2.82, 2 Al 2.82

Results
ΔH_f (0 K), eV per formula unit: -2.5

HRu3Pt: optimized geometry, GGA-PBE.

a b c (Å): 4.8615 4.8615 4.8615
angles (deg): 90.00 90.00 90.00
With the nearest neighbours (Å) after each atom.
Positions (direct):
H 0.5000 0.5000 0.5000  12 Ru 3.44
Ru 0.5000 0.0000 0.0000  2 Pt 2.43
Ru 0.0000 0.5000 0.0000  2 Pt 2.43
Pt 0.0000 0.0000 0.0000  6 Ru 2.43
Ru 0.0000 0.0000 0.5000  2 Pt 2.43

Results
Polymorph energy (0 for the lowest one), kJ/mol of formula units: 1130

BaReRh: optimized geometry, GGA-PBE.

a b c (Å): 4.2014 4.2014 10.6572
angles (deg): 90.00 90.00 120.00
With the nearest neighbours (Å) after each atom.
Positions (direct):
Ba 0.0000 0.0000 0.5000  6 Rh 3.60, 6 Re 3.60
Re 0.6667 0.3333 0.7500  3 Rh 2.43
Re 0.3333 0.6667 0.2500  3 Rh 2.43
Rh 0.3333 0.6667 0.7500  3 Re 2.43
Rh 0.6667 0.3333 0.2500  3 Re 2.43
Ba 0.0000 0.0000 0.0000  6 Re 3.60, 6 Rh 3.60

Results
ΔH_f (0 K), eV per formula unit: 1.4
Polymorph energy (0 for the lowest one), kJ/mol of formula units: 96

CaTb6Ho12: optimized geometry, GGA-PBE.

a b c (Å): 9.3421 9.3421 9.3421
angles (deg): 108.12 108.12 108.12
With the nearest neighbours (Å) after each atom.
Positions (direct):
Ho 0.5000 0.1106 0.8894  4 Tb 3.30-3.41, 5 Ho 3.35-3.64
Tb 0.6834 0.2619 0.6834  5 Ho 3.07-3.41
Ho 0.6361 0.8526 0.6361  1 Tb 3.07, 2 Ho 3.28
Ho 0.1106 0.5000 0.8894  4 Tb 3.30-3.41, 5 Ho 3.35-3.64
Ho 0.8894 0.5000 0.1106  4 Tb 3.30-3.41, 5 Ho 3.35-3.64
Ca 0.0000 0.0000 0.0000  6 Ho 3.46
Tb 0.3166 0.7381 0.3166  5 Ho 3.07-3.41
Tb 0.7381 0.3166 0.3166  5 Ho 3.07-3.41
Ho 0.6361 0.6361 0.8526  1 Tb 3.07, 2 Ho 3.28
Ho 0.1474 0.3639 0.3639  1 Tb 3.07, 2 Ho 3.28
Tb 0.3166 0.3166 0.7381  5 Ho 3.07-3.41
Ho 0.8894 0.1106 0.5000  4 Tb 3.30-3.41, 5 Ho 3.35-3.64
Tb 0.6834 0.6834 0.2619  5 Ho 3.07-3.41
Ho 0.1106 0.8894 0.5000  4 Tb 3.30-3.41, 5 Ho 3.35-3.64
Tb 0.2619 0.6834 0.6834  5 Ho 3.07-3.41
Ho 0.3639 0.1474 0.3639  1 Tb 3.07, 2 Ho 3.28
Ho 0.3639 0.3639 0.1474  1 Tb 3.07, 2 Ho 3.28
Ho 0.8526 0.6361 0.6361  1 Tb 3.07, 2 Ho 3.28
Ho 0.5000 0.8894 0.1106  4 Tb 3.30-3.41, 5 Ho 3.35-3.64

Results
ΔH_f (0 K), eV per formula unit: 8.3

SiTe2W: optimized geometry, GGA-PBE.

a b c (Å): 8.3563 8.3563 8.3563
angles (deg): 155.36 155.63 34.93
With the nearest neighbours (Å) after each atom.
Positions (direct):
Si 0.2500 0.7500 0.5000  4 W 2.51
Te 0.6069 0.6069 0.0000  2 Si 2.88, 2 W 2.90
Te 0.8931 0.8931 0.0000  2 Si 2.88, 2 W 2.90
W 0.7500 0.2500 0.5000  4 Si 2.51

Results
Uncorrected formation energy, eV per atom: 0.259